5
Lattice="-1.8295 1.8295 6.3210 1.8295 -1.8295 6.3210 1.8295 1.8295 -6.3210" Properties=species:S:1:pos:R:3 comment="Al2Cu2Hg, relaxed, DFT GGA-PBE" total_magnetization_mub_per_cell=0.0 e_above_lowest_polymorph_kj_per_mol_atoms=9.6 pbc="T T T"
Al 0.0000 0.0000 1.3523
Al 0.0000 0.0000 11.2897
Cu 1.8295 0.0000 3.1605
Cu 0.0000 1.8295 3.1605
Hg 0.0000 0.0000 6.3210